Below is a relaxed RhSeN3 crystal, with properties calculated at the PBE level.

Unit cell a=3.8861 b=3.8861 c=3.8861 alpha=90.00 beta=90.00 gamma=90.00
Atoms (fractional coordinates):
N: 0.5000 0.0000 0.0000
Se: 0.5000 0.5000 0.5000
N: 0.0000 0.0000 0.5000
N: 0.0000 0.5000 0.0000
Rh: 0.0000 0.0000 0.0000

Calculated values
**Fermi-level density of states**: 4.056 states/eV/cell
**Magnetization**: 0.0 μB per cell
**Volume**: 11.74 Å³ per atom
**Uncorrected energy**: -5.344 eV/atom

Below is a relaxed Rh2SeN crystal, with properties calculated at the PBE level.

Unit cell a=4.8369 b=4.8369 c=6.4951 alpha=68.14 beta=68.14 gamma=90.00
Atoms (fractional coordinates):
Se: 0.7500 0.2500 0.5000
N: 0.5000 0.5000 0.0000
Rh: 0.3750 0.4693 0.7500
Rh: 0.8750 0.7807 0.7500
Rh: 0.2193 0.6250 0.2500
Se: 0.0000 0.0000 0.0000
Rh: 0.5307 0.1250 0.2500
N: 0.2500 0.7500 0.5000

Calculated values
**Fermi-level density of states**: 5.980 states/eV/cell
**Magnetization**: 0.0 μB per cell
**Volume**: 16.15 Å³ per atom
**Uncorrected energy**: -6.495 eV/atom

Below is a relaxed Rh2SeN crystal, with properties calculated at the PBE level.

Unit cell a=4.1854 b=4.1854 c=4.1854 alpha=60.00 beta=60.00 gamma=60.00
Last column: magnetic moment on the atom in μB.
Atoms (fractional coordinates):
N: 0.0000 0.0000 0.0000  0.05
Rh: 0.2500 0.2500 0.2500  0.29
Se: 0.5000 0.5000 0.5000  0.00
Rh: 0.7500 0.7500 0.7500  0.29

Calculated values
**Fermi-level density of states**: 5.248 states/eV/cell
**Magnetization**: 0.6 μB per cell
**Volume**: 12.96 Å³ per atom
**Uncorrected energy**: -5.841 eV/atom

Below is a relaxed RhSeN3 crystal, with properties calculated at the PBE level.

Unit cell a=3.7370 b=3.7370 c=3.7370 alpha=90.00 beta=90.00 gamma=90.00
Atoms (fractional coordinates):
N: 0.0000 0.0000 0.5000
Se: 0.0000 0.0000 0.0000
Rh: 0.5000 0.5000 0.5000
N: 0.5000 0.0000 0.0000
N: 0.0000 0.5000 0.0000

Calculated values
**Fermi-level density of states**: 4.448 states/eV/cell
**Magnetization**: 0.0 μB per cell
**Volume**: 10.44 Å³ per atom
**Uncorrected energy**: -5.014 eV/atom

magnetization of number 1 (RhSeN3)? 0.0 μB per cell